Entry from Alexandria: an optimized crystal structure of CsLaBi2 (PBE-GGA).

Unit cell a=5.1093 b=5.1093 c=8.9679 alpha=73.45 beta=73.45 gamma=60.00
Positions (direct):
Cs1 0.5000 0.5000 0.5000
Bi1 0.2758 0.2758 0.1725
Bi2 0.7242 0.7242 0.8275
La1 0.0000 0.0000 0.0000

Properties
N(E_F)	3.92	states/eV per cell
E_form	-435	meV/atom
uncorrected energy	-15.28	eV/cell
ΔE to the lowest computed polymorph	203	meV per atom
crystal system	trigonal